1.
This record from the Alexandria database describes LiPt2Rh after structural relaxation. The functional is PBE-GGA.

Lattice parameters (Å, degrees): 3.8514 3.8514 7.7107 90.00 90.00 90.00
Space group I-4m2 (No. 119)
Inequivalent atoms, fractional coordinates:
Li1 0.0000 0.0000 0.0000 [2 per cell]
Pt1 0.0000 0.0000 0.5000 [2 per cell]
Pt2 0.0000 0.5000 0.2500 [2 per cell]
Rh1 0.0000 0.5000 0.7500 [2 per cell]

## Properties
total energy	-0.4124	Ry/atom
ΔH_f (0 K)	-0.2737	eV/atom


2.
This record from the Alexandria database describes LiPt2Rh after structural relaxation. The functional is PBE-GGA.

Lattice parameters (Å, degrees): 2.7385 4.6697 9.2374 90.00 90.00 90.00
Space group Cmmm (No. 65)
Inequivalent atoms, fractional coordinates:
Li1 0.0000 0.0000 0.0000 [2 per cell]
Pt1 0.0000 0.5000 0.2390 [4 per cell]
Rh1 0.0000 0.0000 0.5000 [2 per cell]

## Properties
total energy	-0.4047	Ry/atom
ΔH_f (0 K)	-0.1691	eV/atom


3.
This record from the Alexandria database describes LiPt2Rh after structural relaxation. The functional is PBE-GGA.

Lattice parameters (Å, degrees): 5.4686 7.7054 2.7224 90.00 90.00 90.00
Space group Cmmm (No. 65)
Inequivalent atoms, fractional coordinates:
Li1 0.0000 0.0000 0.0000 [2 per cell]
Pt1 0.2500 0.2500 0.5000 [4 per cell]
Rh1 0.0000 0.5000 0.0000 [2 per cell]

## Properties
total energy	-0.4209	Ry/atom
ΔH_f (0 K)	-0.3906	eV/atom


4.
This record from the Alexandria database describes Li2PtRh after structural relaxation. The functional is PBE-GGA.

Lattice parameters (Å, degrees): 9.9446 2.6759 4.6837 90.00 117.87 90.00
Space group Cm (No. 8)
Inequivalent atoms, fractional coordinates:
Li1 0.0000 0.0000 0.0000 [2 per cell]
Li2 0.2371 0.0000 0.9246 [2 per cell]
Pt1 0.2474 0.5000 0.4425 [2 per cell]
Rh1 0.4866 0.0000 0.4804 [2 per cell]

## Properties
total energy	-0.3457	Ry/atom
ΔH_f (0 K)	-0.3991	eV/atom


5.
This record from the Alexandria database describes Li2PtRh after structural relaxation. The functional is PBE-GGA.

Lattice parameters (Å, degrees): 6.0781 6.0781 6.0781 90.00 90.00 90.00
Space group F-43m (No. 216)
Inequivalent atoms, fractional coordinates:
Li1 0.0000 0.0000 0.0000 [4 per cell]
Li2 0.2500 0.2500 0.2500 [4 per cell]
Pt1 0.0000 0.0000 0.5000 [4 per cell]
Rh1 0.2500 0.2500 0.7500 [4 per cell]

## Properties
total energy	-0.3348	Ry/atom
ΔH_f (0 K)	-0.2506	eV/atom


6.
This record from the Alexandria database describes Li2PtRh after structural relaxation. The functional is PBE-GGA.

Lattice parameters (Å, degrees): 2.8275 2.8275 6.9556 90.00 90.00 90.00
Space group P4mm (No. 99)
Inequivalent atoms, fractional coordinates:
Li1 0.0000 0.0000 0.0000 [1 per cell]
Li2 0.5000 0.5000 0.2590 [1 per cell]
Pt1 0.0000 0.0000 0.4918 [1 per cell]
Rh1 0.5000 0.5000 0.7646 [1 per cell]

## Properties
total energy	-0.3305	Ry/atom
ΔH_f (0 K)	-0.1921	eV/atom


7.
This record from the Alexandria database describes LiPt2Rh after structural relaxation. The functional is PBE-GGA.

Lattice parameters (Å, degrees): 9.1547 2.7241 4.7026 90.00 98.66 90.00
Space group Cm (No. 8)
Inequivalent atoms, fractional coordinates:
Li1 0.0000 0.0000 0.0000 [2 per cell]
Pt1 0.0011 0.5000 0.4946 [2 per cell]
Pt2 0.2499 0.0000 0.7869 [2 per cell]
Rh1 0.2555 0.5000 0.2871 [2 per cell]

## Properties
total energy	-0.4139	Ry/atom
ΔH_f (0 K)	-0.2953	eV/atom


8.
This record from the Alexandria database describes Li2PtRh after structural relaxation. The functional is PBE-GGA.

Lattice parameters (Å, degrees): 8.6906 2.7067 4.7243 90.00 100.15 90.00
Space group C2/m (No. 12)
Inequivalent atoms, fractional coordinates:
Li1 0.2494 0.0000 0.2523 [4 per cell]
Pt1 0.0000 0.5000 0.0000 [2 per cell]
Rh1 0.0000 0.0000 0.5000 [2 per cell]

## Properties
total energy	-0.3469	Ry/atom
ΔH_f (0 K)	-0.4146	eV/atom


9.
This record from the Alexandria database describes Li2Pt5Rh after structural relaxation. The functional is PBE-GGA.

Lattice parameters (Å, degrees): 5.4748 5.4748 7.7200 90.00 90.00 90.00
Space group I4/mmm (No. 139)
Inequivalent atoms, fractional coordinates:
Li1 0.0000 0.5000 0.0000 [4 per cell]
Pt1 0.0000 0.0000 0.0000 [2 per cell]
Pt2 0.2500 0.2500 0.2500 [8 per cell]
Rh1 0.0000 0.0000 0.5000 [2 per cell]

## Properties
total energy	-0.4066	Ry/atom
ΔH_f (0 K)	-0.3590	eV/atom


10.
This record from the Alexandria database describes LiPt2Rh after structural relaxation. The functional is PBE-GGA.

Lattice parameters (Å, degrees): 2.7462 2.7462 7.6813 90.00 90.00 90.00
Space group P4mm (No. 99)
Inequivalent atoms, fractional coordinates:
Li1 0.0000 0.0000 0.0000 [1 per cell]
Pt1 0.0000 0.0000 0.5031 [1 per cell]
Pt2 0.5000 0.5000 0.2341 [1 per cell]
Rh1 0.5000 0.5000 0.7532 [1 per cell]

## Properties
total energy	-0.4016	Ry/atom
ΔH_f (0 K)	-0.1278	eV/atom


11.
This record from the Alexandria database describes Li3PtRh after structural relaxation. The functional is PBE-GGA.

Lattice parameters (Å, degrees): 4.5064 4.5064 4.5064 90.00 90.00 90.00
Space group Pm-3m (No. 221)
Inequivalent atoms, fractional coordinates:
Li1 0.0000 0.0000 0.5000 [3 per cell]
Pt1 0.0000 0.0000 0.0000 [1 per cell]
Rh1 0.5000 0.5000 0.5000 [1 per cell]

## Properties
total energy	-0.2502	Ry/atom
ΔH_f (0 K)	0.4230	eV/atom


12.
This record from the Alexandria database describes Li2PtRh after structural relaxation. The functional is PBE-GGA.

Lattice parameters (Å, degrees): 2.7270 2.7270 25.5914 90.00 90.00 120.00
Space group R-3m (No. 166, hexagonal axes)
Inequivalent atoms, fractional coordinates:
Li1 0.0000 0.0000 0.2501 [6 per cell]
Pt1 0.0000 0.0000 0.0000 [3 per cell]
Rh1 0.0000 0.0000 0.5000 [3 per cell]

## Properties
total energy	-0.3467	Ry/atom
ΔH_f (0 K)	-0.4121	eV/atom


13.
This record from the Alexandria database describes LiPt2Rh after structural relaxation. The functional is PBE-GGA.

Lattice parameters (Å, degrees): 2.7174 4.5027 4.7192 90.00 90.00 90.00
Space group Pmm2 (No. 25)
Inequivalent atoms, fractional coordinates:
Li1 0.0000 0.0000 0.0000 [1 per cell]
Pt1 0.5000 0.0000 0.4973 [1 per cell]
Pt2 0.5000 0.5000 0.8690 [1 per cell]
Rh1 0.0000 0.5000 0.3646 [1 per cell]

## Properties
total energy	-0.4159	Ry/atom
ΔH_f (0 K)	-0.3223	eV/atom


14.
This record from the Alexandria database describes LiPt2Rh after structural relaxation. The functional is PBE-GGA.

Lattice parameters (Å, degrees): 2.7355 2.7355 7.7799 90.00 90.00 90.00
Space group P4/mmm (No. 123)
Inequivalent atoms, fractional coordinates:
Li1 0.0000 0.0000 0.0000 [1 per cell]
Pt1 0.5000 0.5000 0.2485 [2 per cell]
Rh1 0.0000 0.0000 0.5000 [1 per cell]

## Properties
total energy	-0.4092	Ry/atom
ΔH_f (0 K)	-0.2302	eV/atom


15.
This record from the Alexandria database describes LiPt2Rh after structural relaxation. The functional is PBE-GGA.

Lattice parameters (Å, degrees): 4.7282 2.7281 4.7688 90.00 110.15 90.00
Space group P2/m (No. 10)
Inequivalent atoms, fractional coordinates:
Li1 0.0000 0.0000 0.0000 [1 per cell]
Pt1 0.5000 0.0000 0.5000 [1 per cell]
Pt2 0.5000 0.5000 0.0000 [1 per cell]
Rh1 0.0000 0.5000 0.5000 [1 per cell]

## Properties
total energy	-0.4156	Ry/atom
ΔH_f (0 K)	-0.3172	eV/atom


16.
This record from the Alexandria database describes Li6PtRh2 after structural relaxation. The functional is PBE-GGA.

Lattice parameters (Å, degrees): 6.6575 7.4423 4.9980 90.00 99.39 90.00
Space group C2/m (No. 12)
Inequivalent atoms, fractional coordinates:
Li1 0.0000 0.1663 0.0000 [4 per cell]
Li2 0.1667 0.3332 0.6664 [8 per cell]
Pt1 0.0000 0.0000 0.5000 [2 per cell]
Rh1 0.1633 0.5000 0.1633 [4 per cell]

## Properties
total energy	-0.2834	Ry/atom
ΔH_f (0 K)	-0.2748	eV/atom


17.
This record from the Alexandria database describes Li3PtRh after structural relaxation. The functional is PBE-GGA.

Lattice parameters (Å, degrees): 4.6900 4.6900 12.2942 90.00 90.00 120.00
Space group R3m (No. 160, hexagonal axes)
Inequivalent atoms, fractional coordinates:
Li1 0.9999 0.4999 0.0000 [9 per cell]
Pt1 0.0000 0.0000 0.4977 [3 per cell]
Rh1 0.0000 0.0000 0.1507 [3 per cell]

## Properties
total energy	-0.2784	Ry/atom
ΔH_f (0 K)	0.0391	eV/atom


18.
This record from the Alexandria database describes Li3PtRh2 after structural relaxation. The functional is PBE-GGA.

Lattice parameters (Å, degrees): 4.7179 4.7179 8.2823 90.00 90.00 120.00
Space group P6_3/mmc (No. 194)
Inequivalent atoms, fractional coordinates:
Li1 0.1718 0.3436 0.2500 [6 per cell]
Pt1 0.0000 0.0000 0.0000 [2 per cell]
Rh1 0.3333 0.6667 0.5261 [4 per cell]

## Properties
total energy	-0.3409	Ry/atom
ΔH_f (0 K)	-0.2238	eV/atom


19.
This record from the Alexandria database describes Li2PtRh after structural relaxation. The functional is PBE-GGA.

Lattice parameters (Å, degrees): 4.1801 4.1801 2.9055 90.00 90.00 90.00
Space group P4/mmm (No. 123)
Inequivalent atoms, fractional coordinates:
Li1 0.0000 0.5000 0.0000 [2 per cell]
Pt1 0.0000 0.0000 0.5000 [1 per cell]
Rh1 0.5000 0.5000 0.5000 [1 per cell]

## Properties
total energy	-0.3333	Ry/atom
ΔH_f (0 K)	-0.2292	eV/atom


20.
This record from the Alexandria database describes Li2PtRh after structural relaxation. The functional is PBE-GGA.

Lattice parameters (Å, degrees): 6.6684 6.6684 5.1581 90.00 90.00 90.00
Space group I-42d (No. 122)
Inequivalent atoms, fractional coordinates:
Li1 0.2501 0.2500 0.1250 [8 per cell]
Pt1 0.0000 0.0000 0.0000 [4 per cell]
Rh1 0.0000 0.0000 0.5000 [4 per cell]

## Properties
total energy	-0.3117	Ry/atom
ΔH_f (0 K)	0.0640	eV/atom